Record 1
A geometry-optimized Sb2OsSe structure, computed with GGA-PBE.

Cell: 3.034 3.034 10.589 Å, 90.00 90.00 114.85°
Atoms (fractional coordinates):
Sb (0.000, 0.000, 0.959)
Sb (0.000, 0.000, 0.541)
Os (0.500, 0.500, 0.750)
Se (0.500, 0.500, 0.250)

Calculated values
Density of states at the Fermi level   0.75 states/eV per atom
SG   No. 65
Total energy   -5.1749 eV/atom
Uncorrected formation energy   0.565 eV per atom

***

Record 2
A geometry-optimized Sb2OsSe structure, computed with GGA-PBE.

Cell: 4.209 4.209 8.549 Å, 103.46 103.46 44.02°
Atoms (fractional coordinates):
Os (0.250, 0.250, 0.250)
Sb (0.590, 0.590, 0.424)
Sb (0.910, 0.910, 0.076)
Se (0.750, 0.750, 0.750)

Calculated values
Density of states at the Fermi level   0.35 states/eV per atom
SG   No. 12
Total energy   -5.4946 eV/atom
Uncorrected formation energy   0.245 eV per atom

***

Record 3
A geometry-optimized Sb3OsSe structure, computed with GGA-PBE.

Cell: 5.224 5.224 5.224 Å, 90.00 90.00 90.00°
Atoms (fractional coordinates):
Sb (0.000, 0.000, 0.500)
Os (0.500, 0.500, 0.500)
Sb (0.500, 0.000, 0.000)
Sb (0.000, 0.500, 0.000)
Se (0.000, 0.000, 0.000)

Calculated values
Density of states at the Fermi level   1.14 states/eV per atom
SG   No. 221
Total energy   -3.7806 eV/atom
Uncorrected formation energy   1.636 eV per atom
Offset from the most stable computed form   1.059 eV per atom

***

Record 4
A geometry-optimized SbOsSe structure, computed with GGA-PBE.

Cell: 7.061 7.061 7.061 Å, 154.83 154.83 35.90°
Atoms (fractional coordinates):
Sb (0.633, 0.633, 0.000)
Se (0.380, 0.380, 0.000)
Os (0.987, 0.987, 0.000)

Calculated values
Density of states at the Fermi level   1.04 states/eV per atom
SG   No. 107
Total energy   -5.9464 eV/atom
Uncorrected formation energy   0.333 eV per atom

***

Record 5
A geometry-optimized Sb2OsSe structure, computed with GGA-PBE.

Cell: 5.054 5.054 3.459 Å, 80.27 80.27 102.41°
Atoms (fractional coordinates):
Sb (0.500, 0.500, 0.000)
Se (0.500, 0.000, 0.500)
Sb (0.000, 0.000, 0.000)
Os (0.000, 0.500, 0.500)

Calculated values
Density of states at the Fermi level   0.78 states/eV per atom
SG   No. 12
Total energy   -5.0878 eV/atom
Uncorrected formation energy   0.652 eV per atom

***

Record 6
A geometry-optimized Sb2OsSe structure, computed with GGA-PBE.

Cell: 3.124 3.124 11.132 Å, 90.00 90.00 121.09°
Atoms (fractional coordinates):
Sb (0.500, 0.500, 0.248)
Se (0.000, 0.000, 0.565)
Os (0.500, 0.500, 0.737)
Sb (0.000, 0.000, 0.950)

Calculated values
Density of states at the Fermi level   0.90 states/eV per atom
SG   No. 35
Total energy   -5.1746 eV/atom
Uncorrected formation energy   0.565 eV per atom

***

Record 7
A geometry-optimized SbOsSe structure, computed with GGA-PBE.

Cell: 4.440 4.440 4.440 Å, 60.00 60.00 60.00°
Atoms (fractional coordinates):
Sb (0.000, 0.000, 0.000)
Se (0.500, 0.500, 0.500)
Os (0.750, 0.750, 0.750)

Calculated values
Density of states at the Fermi level   0.87 states/eV per atom
SG   No. 216
Total energy   -6.0880 eV/atom
Uncorrected formation energy   0.191 eV per atom

***

Record 8
A geometry-optimized Sb2OsSe structure, computed with GGA-PBE.

Cell: 6.797 6.797 6.797 Å, 152.85 140.91 48.24°
Atoms (fractional coordinates):
Os (0.250, 0.750, 0.500)
Se (0.750, 0.250, 0.500)
Sb (0.429, 0.429, 0.000)
Sb (0.071, 0.071, 0.000)

Calculated values
Density of states at the Fermi level   0.69 states/eV per atom
SG   No. 71
Total energy   -5.3492 eV/atom
Uncorrected formation energy   0.391 eV per atom

***

Record 9
A geometry-optimized Sb2OsSe structure, computed with GGA-PBE.

Cell: 6.437 6.437 7.331 Å, 63.96 63.96 90.00°
Atoms (fractional coordinates):
Sb (0.672, 0.125, 0.250)
Os (0.750, 0.250, 0.500)
Sb (0.375, 0.328, 0.750)
Os (0.000, 0.000, 0.000)
Se (0.250, 0.750, 0.500)
Sb (0.875, 0.922, 0.750)
Sb (0.078, 0.625, 0.250)
Se (0.500, 0.500, 0.000)

Calculated values
Density of states at the Fermi level   0.14 states/eV per atom
SG   No. 122
Total energy   -5.2954 eV/atom
Uncorrected formation energy   0.444 eV per atom

***

Record 10
A geometry-optimized SbOsSe2 structure, computed with GGA-PBE.

Cell: 3.091 3.850 7.041 Å, 90.00 90.00 90.00°
Atoms (fractional coordinates):
Os (0.000, 0.000, 0.434)
Se (0.000, 0.000, 0.063)
Se (0.500, 0.500, 0.303)
Sb (0.500, 0.500, 0.700)

Calculated values
Density of states at the Fermi level   0.28 states/eV per atom
SG   No. 25
Total energy   -5.1074 eV/atom
Uncorrected formation energy   0.473 eV per atom

***

Record 11
A geometry-optimized SbOsSe2 structure, computed with GGA-PBE.

Cell: 4.908 4.908 4.908 Å, 125.57 125.57 80.59°
Atoms (fractional coordinates):
Se (0.250, 0.750, 0.500)
Os (0.500, 0.500, 0.000)
Se (0.000, 0.000, 0.000)
Sb (0.750, 0.250, 0.500)

Calculated values
Density of states at the Fermi level   0.72 states/eV per atom
SG   No. 119
Total energy   -4.8018 eV/atom
Uncorrected formation energy   0.779 eV per atom

***

Record 12
A geometry-optimized SbOsSe structure, computed with GGA-PBE.

Cell: 8.427 8.111 3.120 Å, 84.89 73.47 21.64°
Atoms (fractional coordinates):
Se (0.370, 0.370, 0.630)
Sb (0.640, 0.640, 0.360)
Os (0.991, 0.991, 0.009)

Calculated values
Density of states at the Fermi level   0.94 states/eV per atom
SG   No. 42
Total energy   -5.7148 eV/atom
Uncorrected formation energy   0.564 eV per atom

***

Record 13
A geometry-optimized SbOsSe2 structure, computed with GGA-PBE.

Cell: 3.805 3.805 8.978 Å, 104.49 104.49 49.53°
Atoms (fractional coordinates):
Se (0.108, 0.108, 0.911)
Se (0.392, 0.392, 0.589)
Sb (0.250, 0.250, 0.250)
Os (0.750, 0.750, 0.750)

Calculated values
Density of states at the Fermi level   0.63 states/eV per atom
SG   No. 12
Total energy   -5.4455 eV/atom
Uncorrected formation energy   0.135 eV per atom

***

Record 14
A geometry-optimized SbOsSe2 structure, computed with GGA-PBE.

Cell: 3.023 3.023 9.660 Å, 90.00 90.00 90.00°
Atoms (fractional coordinates):
Os (0.500, 0.500, 0.250)
Sb (0.500, 0.500, 0.750)
Se (0.000, 0.000, 0.415)
Se (0.000, 0.000, 0.085)

Calculated values
Density of states at the Fermi level   0.77 states/eV per atom
SG   No. 123
Total energy   -5.2041 eV/atom
Uncorrected formation energy   0.376 eV per atom

***

Record 15
A geometry-optimized Sb2OsSe structure, computed with GGA-PBE.

Cell: 7.779 7.779 7.779 Å, 27.59 27.59 27.59°
Atoms (fractional coordinates):
Sb (0.510, 0.510, 0.510)
Sb (0.990, 0.990, 0.990)
Os (0.250, 0.250, 0.250)
Se (0.750, 0.750, 0.750)

Calculated values
Density of states at the Fermi level   0.72 states/eV per atom
SG   No. 166
Total energy   -5.4478 eV/atom
Uncorrected formation energy   0.292 eV per atom

***

Record 16
A geometry-optimized SbOsSe2 structure, computed with GGA-PBE.

Cell: 4.711 3.068 6.448 Å, 104.09 90.00 90.00°
Atoms (fractional coordinates):
Sb (0.500, 0.671, 0.710)
Se (0.000, 0.859, 0.100)
Se (0.500, 0.451, 0.276)
Os (0.000, 0.520, 0.414)

Calculated values
Density of states at the Fermi level   0.58 states/eV per atom
SG   No. 6
Total energy   -5.1547 eV/atom
Uncorrected formation energy   0.426 eV per atom

***

Record 17
A geometry-optimized SbOsSe2 structure, computed with GGA-PBE.

Cell: 3.043 3.043 10.801 Å, 90.00 90.00 121.07°
Atoms (fractional coordinates):
Sb (0.500, 0.500, 0.708)
Se (0.000, 0.000, 0.002)
Se (0.500, 0.500, 0.305)
Os (0.000, 0.000, 0.486)

Calculated values
Density of states at the Fermi level   0.88 states/eV per atom
SG   No. 35
Total energy   -5.0196 eV/atom
Uncorrected formation energy   0.561 eV per atom

***

Record 18
A geometry-optimized Sb2OsSe structure, computed with GGA-PBE.

Cell: 6.609 6.609 6.609 Å, 152.36 136.64 52.20°
Atoms (fractional coordinates):
Sb (0.067, 0.067, 0.000)
Sb (0.735, 0.235, 0.500)
Se (0.430, 0.430, 0.000)
Os (0.268, 0.768, 0.500)

Calculated values
Density of states at the Fermi level   0.60 states/eV per atom
SG   No. 44
Total energy   -5.4037 eV/atom
Uncorrected formation energy   0.336 eV per atom

***

Record 19
A geometry-optimized SbOsSe structure, computed with GGA-PBE.

Cell: 4.960 4.960 4.960 Å, 141.80 128.84 65.60°
Atoms (fractional coordinates):
Os (0.022, 0.022, 0.000)
Sb (0.656, 0.656, 0.000)
Se (0.322, 0.322, 0.000)

Calculated values
Density of states at the Fermi level   0.74 states/eV per atom
SG   No. 44
Total energy   -5.4947 eV/atom
Uncorrected formation energy   0.784 eV per atom

***

Record 20
A geometry-optimized SbOsSe2 structure, computed with GGA-PBE.

Cell: 4.748 4.748 4.748 Å, 60.00 60.00 60.00°
Atoms (fractional coordinates):
Os (0.500, 0.500, 0.500)
Sb (0.750, 0.750, 0.750)
Se (0.000, 0.000, 0.000)
Se (0.250, 0.250, 0.250)

Calculated values
Density of states at the Fermi level   1.06 states/eV per atom
SG   No. 216
Total energy   -4.7587 eV/atom
Uncorrected formation energy   0.822 eV per atom

***

Record 21
A geometry-optimized Sb2OsSe structure, computed with GGA-PBE.

Cell: 3.134 3.136 9.786 Å, 69.88 90.00 90.00°
Atoms (fractional coordinates):
Sb (0.000, 0.045, 0.940)
Se (0.500, 0.250, 0.250)
Os (0.500, 0.750, 0.750)
Sb (0.000, 0.455, 0.560)

Calculated values
Density of states at the Fermi level   0.50 states/eV per atom
SG   No. 10
Total energy   -5.4461 eV/atom
Uncorrected formation energy   0.294 eV per atom

***

Record 22
A geometry-optimized SbOsSe2 structure, computed with GGA-PBE.

Cell: 3.675 5.119 5.121 Å, 61.61 90.00 90.00°
Atoms (fractional coordinates):
Os (0.500, 0.250, 0.250)
Sb (0.500, 0.750, 0.750)
Se (0.000, 0.055, 0.056)
Se (0.000, 0.445, 0.444)

Calculated values
Density of states at the Fermi level   0.64 states/eV per atom
SG   No. 65
Total energy   -5.4599 eV/atom
Uncorrected formation energy   0.120 eV per atom

***

Record 23
A geometry-optimized Sb3OsSe structure, computed with GGA-PBE.

Cell: 5.147 5.147 5.147 Å, 90.00 90.00 90.00°
Atoms (fractional coordinates):
Sb (0.500, 0.000, 0.000)
Os (0.000, 0.000, 0.000)
Se (0.500, 0.500, 0.500)
Sb (0.000, 0.000, 0.500)
Sb (0.000, 0.500, 0.000)

Calculated values
Density of states at the Fermi level   1.24 states/eV per atom
SG   No. 221
Total energy   -4.8397 eV/atom
Uncorrected formation energy   0.577 eV per atom
Offset from the most stable computed form   0.000 eV per atom

***

Record 24
A geometry-optimized SbOsSe2 structure, computed with GGA-PBE.

Cell: 3.136 3.136 10.810 Å, 90.00 90.00 123.35°
Atoms (fractional coordinates):
Sb (0.500, 0.500, 0.750)
Se (0.000, 0.000, 0.063)
Se (0.000, 0.000, 0.437)
Os (0.500, 0.500, 0.250)

Calculated values
Density of states at the Fermi level   1.09 states/eV per atom
SG   No. 65
Total energy   -4.9979 eV/atom
Uncorrected formation energy   0.582 eV per atom

***

Record 25
A geometry-optimized Sb2OsSe structure, computed with GGA-PBE.

Cell: 3.077 3.077 9.529 Å, 90.00 90.00 90.00°
Atoms (fractional coordinates):
Os (0.500, 0.500, 0.729)
Se (0.000, 0.000, 0.581)
Sb (0.500, 0.500, 0.248)
Sb (0.000, 0.000, 0.942)

Calculated values
Density of states at the Fermi level   0.71 states/eV per atom
SG   No. 99
Total energy   -5.3945 eV/atom
Uncorrected formation energy   0.345 eV per atom

***

Record 26
A geometry-optimized SbOsSe2 structure, computed with GGA-PBE.

Cell: 4.799 4.799 3.267 Å, 90.00 90.00 90.00°
Atoms (fractional coordinates):
Sb (0.000, 0.500, 0.500)
Se (0.500, 0.500, 0.000)
Se (0.000, 0.000, 0.000)
Os (0.500, 0.000, 0.500)

Calculated values
Density of states at the Fermi level   0.58 states/eV per atom
SG   No. 123
Total energy   -4.8513 eV/atom
Uncorrected formation energy   0.729 eV per atom

***

Record 27
A geometry-optimized SbOsSe3 structure, computed with GGA-PBE.

Cell: 4.892 4.892 4.892 Å, 90.00 90.00 90.00°
Atoms (fractional coordinates):
Se (0.500, 0.000, 0.000)
Sb (0.500, 0.500, 0.500)
Os (0.000, 0.000, 0.000)
Se (0.000, 0.500, 0.000)
Se (0.000, 0.000, 0.500)

Calculated values
Density of states at the Fermi level   1.41 states/eV per atom
SG   No. 221
Total energy   -4.6162 eV/atom
Uncorrected formation energy   0.545 eV per atom
Offset from the most stable computed form   0.000 eV per atom

***

Record 28
A geometry-optimized Sb2TeOsSe structure, computed with GGA-PBE.

Cell: 5.138 5.138 5.249 Å, 90.00 90.00 90.00°
Atoms (fractional coordinates):
Te (0.000, 0.000, 0.500)
Sb (0.500, 0.000, 0.000)
Os (0.000, 0.000, 0.000)
Se (0.500, 0.500, 0.500)
Sb (0.000, 0.500, 0.000)

Calculated values
Density of states at the Fermi level   1.30 states/eV per atom
SG   No. 123
Total energy   -4.5799 eV/atom
Uncorrected formation energy   0.640 eV per atom
Offset from the most stable computed form   0.000 eV per atom

***

Record 29
A geometry-optimized SbTe2OsSe structure, computed with GGA-PBE.

Cell: 5.213 5.213 5.254 Å, 90.00 90.00 90.00°
Atoms (fractional coordinates):
Se (0.000, 0.000, 0.000)
Te (0.000, 0.500, 0.000)
Te (0.500, 0.000, 0.000)
Sb (0.000, 0.000, 0.500)
Os (0.500, 0.500, 0.500)

Calculated values
Density of states at the Fermi level   0.72 states/eV per atom
SG   No. 123
Total energy   -3.3421 eV/atom
Uncorrected formation energy   1.682 eV per atom
Offset from the most stable computed form   0.980 eV per atom

***

Record 30
A geometry-optimized Sb2TeOsSe structure, computed with GGA-PBE.

Cell: 5.214 5.214 5.191 Å, 90.00 90.00 90.00°
Atoms (fractional coordinates):
Os (0.500, 0.500, 0.500)
Sb (0.000, 0.500, 0.000)
Sb (0.500, 0.000, 0.000)
Se (0.000, 0.000, 0.000)
Te (0.000, 0.000, 0.500)

Calculated values
Density of states at the Fermi level   1.30 states/eV per atom
SG   No. 123
Total energy   -3.5556 eV/atom
Uncorrected formation energy   1.665 eV per atom
Offset from the most stable computed form   1.024 eV per atom